# 1
A relaxed structure of Tm2SbAs, computed with PBE.

Raw formation energy: -26.92 kcal/mol of atoms
Fermi-level density of states: 2.740 states/eV/cell
Magnetization: 0.00 μB per cell
Raw total energy: -5.60 eV/atom
Crystal system: trigonal

Cell: 4.1594 4.1594 21.2975 Å, 90.00 90.00 120.00°
Space group R3m (No. 160, hexagonal axes)
Unique sites:
Tm 0.0000 0.0000 0.0000 (multiplicity 3)
Tm 0.0000 0.0000 0.1811 (multiplicity 3)
Sb 0.0000 0.0000 0.7580 (multiplicity 3)
As 0.0000 0.0000 0.5884 (multiplicity 3)

=====

# 2
A relaxed structure of BeN3O, computed with PBE.

Raw formation energy: 62.69 kcal/mol of atoms
Fermi-level density of states: 2.358 states/eV/cell
Magnetization: 0.00 μB per cell
Raw total energy: -4.01 eV/atom
Crystal system: cubic

Cell: 3.4215 3.4215 3.4215 Å, 90.00 90.00 90.00°
Space group Pm-3m (No. 221)
Unique sites:
Be 0.0000 0.0000 0.0000 (multiplicity 1)
N 0.0000 0.5000 0.5000 (multiplicity 3)
O 0.5000 0.5000 0.5000 (multiplicity 1)

=====

# 3
A relaxed structure of CsBeH6Pt, computed with PBE.

Fermi-level density of states: 0.822 states/eV/cell
Magnetization: 0.00 μB per cell
Raw total energy: -3.56 eV/atom
Crystal system: trigonal

Cell: 4.4446 4.4446 6.4328 Å, 90.00 90.00 120.00°
Space group P312 (No. 149)
Unique sites:
Cs 0.0000 0.0000 0.0000 (multiplicity 1)
Be 0.3333 0.6667 0.5000 (multiplicity 1)
H 0.0050 0.3967 0.6549 (multiplicity 6)
Pt 0.6667 0.3333 0.5000 (multiplicity 1)

=====

# 4
A relaxed structure of Mg4SiW, computed with PBE.

Raw formation energy: 17.62 kcal/mol of atoms
Fermi-level density of states: 24.001 states/eV/cell
Magnetization: 7.42 μB per cell
Raw total energy: -3.36 eV/atom
Crystal system: cubic

Cell: 7.6647 7.6647 7.6647 Å, 90.00 90.00 90.00°
Space group F-43m (No. 216)
Unique sites:
Mg 0.1245 0.1245 0.3755 (multiplicity 16)
Si 0.0000 0.0000 0.0000 (multiplicity 4)
W 0.2500 0.2500 0.7500 (multiplicity 4)

=====

What is the formula in the fourth record?
Mg4SiW